Computed, not measured: a relaxed structure of BaSbTe2W at the PBE-GGA level of DFT.

abc: 6.2130 6.2130 6.1250
angles: 90.00 90.00 90.00
Closest atoms and distances in Å follow each position.
Positions (direct):
Te1 0.0000 0.5000 0.0000  2 Ba 3.11
Te2 0.5000 0.0000 0.0000  2 Ba 3.11
W1 0.5000 0.5000 0.5000  8 Te 4.36, 4 Sb 4.39
Sb1 0.0000 0.0000 0.5000  2 Ba 3.06
Ba1 0.0000 0.0000 0.0000  2 Sb 3.06, 4 Te 3.11

Summary:
Spin magnetization   0.745 μB per formula unit
Energy above the lowest structure with this stoichiometry   2.240 eV per atom
Density of states at the Fermi level   11.13 states/eV/cell
E_form (uncorrected)   2.12 eV/atom
Space group   No. 123